5
Lattice="4.805 0.000 0.000 0.000 4.805 0.000 0.000 0.000 4.504" Properties=species:S:1:pos:R:3 comment="Cd2ReNiB (PBE, optimized geometry)" magnetic_moment_mub_per_atom=0.335 formation_enthalpy_0k_mev_per_atom=1756 final_energy_ev_per_atom=-3.59 pbc="T T T"
Cd 0.000 2.402 0.000
Cd 2.402 0.000 0.000
Re 0.000 0.000 2.252
Ni 0.000 0.000 0.000
B 2.402 2.402 2.252

4
Lattice="2.524 0.000 0.000 0.000 4.069 0.000 -0.466 0.000 4.445" Properties=species:S:1:pos:R:3 comment="Mn2FeSi (PBE, optimized geometry)" magnetic_moment_mub_per_atom=1.244 e_form_raw_ev_per_atom=-0.0782 final_energy_ev_per_atom=-8.13 pbc="T T T"
Mn 0.501 0.000 1.104
Mn 1.557 0.000 3.341
Fe 1.262 2.034 0.000
Si -0.233 2.034 2.222

8
Lattice="5.904 0.000 0.000 0.000 4.462 0.000 -2.638 0.000 7.326" Properties=species:S:1:pos:R:3 comment="Dy2GaAu (PBE, optimized geometry)" magnetic_moment_mub_per_atom=0.000 formation_enthalpy_0k_mev_per_atom=-726 final_energy_ev_per_atom=-4.60 pbc="T T T"
Dy 0.110 1.115 3.178
Dy -1.121 1.115 6.741
Dy 4.387 3.346 0.585
Dy 3.156 3.346 4.148
Ga 1.370 3.346 1.515
Ga 1.896 1.115 5.811
Au 0.183 3.346 5.187
Au 3.083 1.115 2.139

11
Lattice="2.589 -7.735 0.000 2.589 7.735 0.000 0.000 0.000 7.513" Properties=species:S:1:pos:R:3 comment="Ho6Cd5 (PBE, optimized geometry)" magnetic_moment_mub_per_atom=0.000 formation_enthalpy_0k_mev_per_atom=-205 final_energy_ev_per_atom=-3.12 pbc="T T T"
Ho 0.000 0.000 1.825
Ho 0.000 0.000 5.688
Ho 2.589 2.488 1.841
Ho 2.589 2.488 5.672
Ho 2.589 -2.488 1.841
Ho 2.589 -2.488 5.672
Cd 2.589 5.119 3.757
Cd 2.589 5.074 0.000
Cd 2.589 0.000 3.757
Cd 2.589 -5.074 0.000
Cd 2.589 -5.119 3.757

28
Lattice="5.050 0.000 0.000 0.000 14.619 0.000 0.000 0.000 10.953" Properties=species:S:1:pos:R:3 comment="Sr3Tl5Cd6 (PBE, optimized geometry)" magnetic_moment_mub_per_atom=0.000 formation_enthalpy_0k_mev_per_atom=-233 final_energy_ev_per_atom=-1.83 pbc="T T T"
Sr 1.262 0.730 2.697
Sr 1.262 6.579 2.697
Sr 1.262 10.964 2.734
Sr 3.787 3.655 8.219
Sr 3.787 8.039 8.256
Sr 3.787 13.888 8.256
Tl 1.262 1.255 9.670
Tl 1.262 6.055 9.670
Tl 1.262 8.791 5.803
Tl 1.262 10.964 8.268
Tl 1.262 13.136 5.803
Tl 3.787 1.482 5.150
Tl 3.787 3.655 2.685
Tl 3.787 5.827 5.150
Tl 3.787 8.564 1.282
Tl 3.787 13.364 1.282
Cd 1.262 1.475 6.739
Cd 1.262 3.655 0.582
Cd 1.262 3.655 4.727
Cd 1.262 5.834 6.739
Cd 1.262 8.951 10.679
Cd 1.262 12.977 10.679
Cd 3.787 1.642 0.274
Cd 3.787 5.667 0.274
Cd 3.787 8.784 4.214
Cd 3.787 10.964 6.226
Cd 3.787 10.964 10.371
Cd 3.787 13.143 4.214

10
Lattice="4.407 0.000 0.000 0.000 4.407 0.000 0.000 0.000 10.873" Properties=species:S:1:pos:R:3 comment="Nd2CdCu4Sn3 (PBE, optimized geometry)" magnetic_moment_mub_per_atom=0.000 formation_enthalpy_0k_mev_per_atom=-387 final_energy_ev_per_atom=-4.27 pbc="T T T"
Nd 0.000 2.204 2.590
Nd 2.204 0.000 8.284
Cd 0.000 0.000 5.437
Cu 0.000 0.000 0.000
Cu 0.000 2.204 6.938
Cu 2.204 0.000 3.935
Cu 2.204 2.204 0.000
Sn 0.000 2.204 9.458
Sn 2.204 0.000 1.415
Sn 2.204 2.204 5.437

5
Lattice="4.424 0.000 0.000 0.000 4.424 0.000 0.000 0.000 4.424" Properties=species:S:1:pos:R:3 comment="YBF3 (PBE, optimized geometry)" magnetic_moment_mub_per_atom=0.200 polymorph_energy_kj_per_mol_atoms=0.0 e_form_raw_ev_per_atom=-2.0368 final_energy_ev_per_atom=-5.79 pbc="T T T"
Y 0.000 0.000 0.000
B 2.212 2.212 2.212
F 0.000 0.000 2.212
F 0.000 2.212 0.000
F 2.212 0.000 0.000

5
Lattice="3.869 0.000 0.000 0.000 3.869 0.000 0.000 0.000 3.950" Properties=species:S:1:pos:R:3 comment="TcNi2PdN (PBE, optimized geometry)" magnetic_moment_mub_per_atom=0.001 e_form_raw_ev_per_atom=0.0622 final_energy_ev_per_atom=-7.03 pbc="T T T"
Tc 0.000 0.000 0.000
Ni 0.000 1.934 1.975
Ni 1.934 0.000 1.975
Pd 1.934 1.934 0.000
N 0.000 0.000 1.975